Entry 1:
The following is a PBE calculation of Th4RhS2Cl after structural relaxation, from Alexandria.

Lattice parameters (Å, degrees): 7.107 3.997 7.249 90.00 108.98 90.00
Space group P2/m (No. 10)
Inequivalent atoms, fractional coordinates:
Th (0.237, 0.000, 0.246) x2
Th (0.242, 0.500, 0.739) x2
Rh (0.000, 0.500, 0.000) x1
S (0.000, 0.000, 0.500) x1
S (0.500, 0.500, 0.500) x1
Cl (0.500, 0.000, 0.000) x1

Results
Uncorrected formation energy (eV per atom): -1.37

Entry 2:
The following is a PBE calculation of SrSm2PuS4 after structural relaxation, from Alexandria.

Lattice parameters (Å, degrees): 7.038 4.041 7.048 90.00 109.33 90.00
Space group P2/m (No. 10)
Inequivalent atoms, fractional coordinates:
Sr (0.000, 0.000, 0.000) x1
Sm (0.000, 0.500, 0.500) x1
Sm (0.500, 0.000, 0.500) x1
Pu (0.500, 0.500, 0.000) x1
S (0.256, 0.000, 0.749) x2
S (0.258, 0.500, 0.258) x2

Results
Uncorrected formation energy (eV per atom): -1.96

Entry 3:
The following is a PBE calculation of BaGdIr after structural relaxation, from Alexandria.

Lattice parameters (Å, degrees): 4.2973 4.2973 6.8295 90.00 90.00 120.00
Space group P3m1 (No. 156)
Inequivalent atoms, fractional coordinates:
Ba (0.0000, 0.0000, 0.0000) x1
Gd (0.6667, 0.3333, 0.5414) x1
Ir (0.3333, 0.6667, 0.7197) x1

Results
Energy relative to the elements (kJ per mole of atoms): -31

Entry 4:
The following is a PBE calculation of Fe3PdW after structural relaxation, from Alexandria.

Lattice parameters (Å, degrees): 4.440 4.440 4.440 90.00 90.00 90.00
Space group Pm-3m (No. 221)
Inequivalent atoms, fractional coordinates:
Fe (0.000, 0.000, 0.500) x3
Pd (0.500, 0.500, 0.500) x1
W (0.000, 0.000, 0.000) x1

Results
Energy above the lowest structure with this stoichiometry (meV/atom): 0
Energy relative to the elements (kJ per mole of atoms): 144

Entry 5:
The following is a PBE calculation of CrCuRe after structural relaxation, from Alexandria.

Lattice parameters (Å, degrees): 3.085 3.085 8.235 90.00 90.00 90.00
Space group I4mm (No. 107)
Inequivalent atoms, fractional coordinates:
Cr (0.000, 0.000, 0.000) x2
Cu (0.000, 0.000, 0.330) x2
Re (0.000, 0.000, 0.651) x2

Results
Energy above the lowest structure with this stoichiometry (meV/atom): 69
Energy relative to the elements (kJ per mole of atoms): 24

Entry 6:
The following is a PBE calculation of BaMg2Zn after structural relaxation, from Alexandria.

Lattice parameters (Å, degrees): 4.204 4.831 6.331 90.00 104.85 90.00
Space group P2/m (No. 10)
Inequivalent atoms, fractional coordinates:
Ba (0.000, 0.000, 0.000) x1
Mg (0.344, 0.500, 0.688) x2
Zn (0.500, 0.000, 0.500) x1

Results
Energy relative to the elements (kJ per mole of atoms): 1

Entry 7:
The following is a PBE calculation of Ca3Al5Ag6 after structural relaxation, from Alexandria.

Lattice parameters (Å, degrees): 4.550 13.537 9.375 90.00 90.00 90.00
Space group Pmmn (No. 59, origin choice 2)
Inequivalent atoms, fractional coordinates:
Ca (0.250, 0.050, 0.241) x4
Ca (0.250, 0.750, 0.267) x2
Al (0.250, 0.078, 0.589) x4
Al (0.250, 0.621, 0.978) x4
Al (0.250, 0.750, 0.757) x2
Ag (0.250, 0.083, 0.875) x4
Ag (0.250, 0.250, 0.060) x2
Ag (0.250, 0.250, 0.430) x2
Ag (0.250, 0.619, 0.541) x4

Results
Energy relative to the elements (kJ per mole of atoms): -26

Entry 8:
The following is a PBE calculation of Cd2FeAs after structural relaxation, from Alexandria.

Lattice parameters (Å, degrees): 2.966 5.309 4.854 90.00 93.87 90.00
Space group P2/m (No. 10)
Inequivalent atoms, fractional coordinates:
Cd (0.239, 0.000, 0.255) x2
Fe (0.500, 0.500, 0.500) x1
As (0.000, 0.500, 0.000) x1

Results
Energy relative to the elements (kJ per mole of atoms): 35